A geometry-optimized PmEr2Rh structure, computed with PBE-GGA.

Cell: 3.8602 3.8602 27.0464 Å, 90.00 90.00 120.00°
Closest atoms and distances in Å follow each position.
Space group R3m (No. 160, hexagonal axes)
Unique sites:
Pm 0.0000 0.0000 0.0000 [3 per cell]  6 Er 3.64-3.74, 6 Pm 3.86
Er 0.0000 0.0000 0.5558 [3 per cell]  3 Rh 2.72
Er 0.0000 0.0000 0.7733 [3 per cell]  3 Rh 2.72
Rh 0.0000 0.0000 0.1645 [3 per cell]  6 Er 2.72

## Properties
DOS at the Fermi energy in states/eV per atom: 1.21
Relative energy among the computed polymorphs in eV/f.u.: 0.59
ΔH_f (0 K) in meV per atom: -371